1) Sm2PdBr: relaxed, PBE.

Summary:
DOS at the Fermi energy: 0.865 states/eV per atom

Unit cell a=4.1661 b=4.1661 c=8.0445 alpha=74.99 beta=74.99 gamma=60.00
Last column: nearest neighbours and their distance in Å.
Atoms (fractional coordinates):
Pd  0.0000  0.0000  0.0000  6 Sm 2.85
Br  0.5000  0.5000  0.5000  6 Sm 3.33
Sm  0.7334  0.7334  0.7999  3 Pd 2.85
Sm  0.2666  0.2666  0.2001  3 Pd 2.85


2) Sm2PdBr: relaxed, PBE.

Summary:
DOS at the Fermi energy: 0.943 states/eV per atom

Unit cell a=4.1396 b=4.1396 c=8.1727 alpha=75.33 beta=75.33 gamma=60.00
Last column: nearest neighbours and their distance in Å.
Atoms (fractional coordinates):
Pd  0.6674  0.6674  0.9979  6 Sm 2.85
Sm  0.2678  0.2678  0.1965  3 Pd 2.85
Sm  0.0665  0.0665  0.8004  3 Pd 2.85
Br  0.4983  0.4983  0.5052  6 Sm 3.32-3.40


Which is most stable? The ranking, best first, is 1), 2).


1) Sn3PdBr: relaxed, PBE.

Summary:
DOS at the Fermi energy: 0.737 states/eV per atom

Unit cell a=5.2887 b=5.2887 c=5.2887 alpha=90.00 beta=90.00 gamma=90.00
Last column: nearest neighbours and their distance in Å.
Atoms (fractional coordinates):
Sn  0.5000  0.0000  0.0000  2 Pd 2.64
Sn  0.0000  0.0000  0.5000  2 Pd 2.64
Br  0.5000  0.5000  0.5000  12 Sn 3.74
Sn  0.0000  0.5000  0.0000  2 Pd 2.64
Pd  0.0000  0.0000  0.0000  6 Sn 2.64


2) Sn3PdBr: relaxed, PBE.

Summary:
DOS at the Fermi energy: 1.103 states/eV per atom

Unit cell a=5.4849 b=5.4849 c=5.4849 alpha=90.00 beta=90.00 gamma=90.00
Last column: nearest neighbours and their distance in Å.
Atoms (fractional coordinates):
Sn  0.5000  0.0000  0.0000  2 Br 2.74
Br  0.0000  0.0000  0.0000  6 Sn 2.74
Sn  0.0000  0.0000  0.5000  2 Br 2.74
Pd  0.5000  0.5000  0.5000  12 Sn 3.88
Sn  0.0000  0.5000  0.0000  2 Br 2.74


Which is most stable? The ranking, best first, is 1), 2).


1) SnPd3Br: relaxed, PBE.

Summary:
DOS at the Fermi energy: 0.518 states/eV per atom

Unit cell a=4.8284 b=4.8284 c=4.8284 alpha=90.00 beta=90.00 gamma=90.00
Last column: nearest neighbours and their distance in Å.
Atoms (fractional coordinates):
Br  0.0000  0.0000  0.0000  6 Pd 2.41
Pd  0.0000  0.5000  0.0000  2 Br 2.41
Sn  0.5000  0.5000  0.5000  12 Pd 3.41
Pd  0.0000  0.0000  0.5000  2 Br 2.41
Pd  0.5000  0.0000  0.0000  2 Br 2.41


2) SnPd3Br: relaxed, PBE.

Summary:
DOS at the Fermi energy: 0.225 states/eV per atom

Unit cell a=5.0187 b=5.0187 c=5.0187 alpha=90.00 beta=90.00 gamma=90.00
Last column: nearest neighbours and their distance in Å.
Atoms (fractional coordinates):
Pd  0.5000  0.0000  0.0000  2 Sn 2.51
Pd  0.0000  0.0000  0.5000  2 Sn 2.51
Br  0.5000  0.5000  0.5000  12 Pd 3.55
Pd  0.0000  0.5000  0.0000  2 Sn 2.51
Sn  0.0000  0.0000  0.0000  6 Pd 2.51


Which is most stable? The ranking, best first, is 1), 2).


1) SrPdBr2: relaxed, PBE.

Summary:
DOS at the Fermi energy: 0.065 states/eV per atom

Unit cell a=5.2073 b=5.2073 c=5.2073 alpha=60.00 beta=60.00 gamma=60.00
Last column: nearest neighbours and their distance in Å.
Atoms (fractional coordinates):
Sr  0.0000  0.0000  0.0000  8 Br 3.19
Pd  0.5000  0.5000  0.5000  8 Br 3.19
Br  0.2500  0.2500  0.2500  4 Pd 3.19, 4 Sr 3.19
Br  0.7500  0.7500  0.7500  4 Pd 3.19, 4 Sr 3.19


2) SrPdBr2: relaxed, PBE.

Summary:
DOS at the Fermi energy: 0.000 states/eV per atom

Unit cell a=5.4138 b=5.4138 c=9.2493 alpha=72.98 beta=72.98 gamma=90.00
Last column: nearest neighbours and their distance in Å.
Atoms (fractional coordinates):
Br  0.3750  0.3301  0.7500  2 Pd 2.74, 2 Sr 2.97
Br  0.6699  0.1250  0.2500  2 Pd 2.74, 2 Sr 2.97
Pd  0.7500  0.2500  0.5000  4 Br 2.74
Pd  0.0000  0.0000  0.0000  4 Br 2.74
Sr  0.5000  0.5000  0.0000  4 Br 2.97
Sr  0.2500  0.7500  0.5000  4 Br 2.97
Br  0.8750  0.9199  0.7500  2 Pd 2.74, 2 Sr 2.97
Br  0.0801  0.6250  0.2500  2 Pd 2.74, 2 Sr 2.97


3) SrPdBr2: relaxed, PBE.

Summary:
DOS at the Fermi energy: 0.911 states/eV per atom

Unit cell a=8.7447 b=8.7447 c=8.7447 alpha=28.98 beta=28.98 gamma=28.98
Last column: nearest neighbours and their distance in Å.
Atoms (fractional coordinates):
Pd  0.5000  0.5000  0.5000  6 Br 2.83
Br  0.1157  0.1157  0.1157  3 Pd 2.83, 1 Sr 2.91
Sr  0.0000  0.0000  0.0000  2 Br 2.91
Br  0.8843  0.8843  0.8843  3 Pd 2.83, 1 Sr 2.91


Which is most stable? The ranking, best first, is 1), 2), 3).


1) SrPdBr3: relaxed, PBE.

Summary:
DOS at the Fermi energy: 0.223 states/eV per atom

Unit cell a=5.2557 b=5.2557 c=5.2557 alpha=90.00 beta=90.00 gamma=90.00
Last column: nearest neighbours and their distance in Å.
Atoms (fractional coordinates):
Pd  0.0000  0.0000  0.0000  6 Br 2.63
Br  0.5000  0.0000  0.0000  2 Pd 2.63
Br  0.0000  0.5000  0.0000  2 Pd 2.63
Sr  0.5000  0.5000  0.5000  12 Br 3.72
Br  0.0000  0.0000  0.5000  2 Pd 2.63


2) SrPdBr3: relaxed, PBE.

Summary:
DOS at the Fermi energy: 1.189 states/eV per atom

Unit cell a=5.9249 b=5.9249 c=5.9249 alpha=90.00 beta=90.00 gamma=90.00
Last column: nearest neighbours and their distance in Å.
Atoms (fractional coordinates):
Br  0.0000  0.0000  0.5000  2 Sr 2.96
Sr  0.0000  0.0000  0.0000  6 Br 2.96
Br  0.0000  0.5000  0.0000  2 Sr 2.96
Br  0.5000  0.0000  0.0000  2 Sr 2.96
Pd  0.5000  0.5000  0.5000  12 Br 4.19


Which is most stable? The ranking, best first, is 1), 2).


1) TaPd2Br: relaxed, PBE.

Summary:
DOS at the Fermi energy: 0.187 states/eV per atom

Unit cell a=6.6461 b=6.6461 c=6.3439 alpha=58.41 beta=58.41 gamma=90.00
Last column: nearest neighbours and their distance in Å.
Atoms (fractional coordinates):
Pd  0.8750  0.8959  0.7500  2 Ta 2.49, 2 Br 2.67
Ta  0.7500  0.2500  0.5000  4 Pd 2.49
Pd  0.1041  0.6250  0.2500  2 Ta 2.49, 2 Br 2.67
Br  0.2500  0.7500  0.5000  4 Pd 2.67
Pd  0.3750  0.3541  0.7500  2 Ta 2.49, 2 Br 2.67
Pd  0.6459  0.1250  0.2500  2 Ta 2.49, 2 Br 2.67
Br  0.5000  0.5000  0.0000  4 Pd 2.67
Ta  0.0000  0.0000  0.0000  4 Pd 2.49


2) TaPd2Br: relaxed, PBE.

Summary:
DOS at the Fermi energy: 0.570 states/eV per atom

Unit cell a=4.6625 b=4.6625 c=4.6625 alpha=60.00 beta=60.00 gamma=60.00
Last column: nearest neighbours and their distance in Å.
Atoms (fractional coordinates):
Ta  0.5000  0.5000  0.5000  8 Pd 2.86
Pd  0.2500  0.2500  0.2500  4 Ta 2.86, 4 Br 2.86
Br  0.0000  0.0000  0.0000  8 Pd 2.86
Pd  0.7500  0.7500  0.7500  4 Ta 2.86, 4 Br 2.86


Which is most stable? The ranking, best first, is 1), 2).


1) TaPdBr3: relaxed, PBE.

Summary:
DOS at the Fermi energy: 0.591 states/eV per atom

Unit cell a=5.1142 b=5.1142 c=5.1142 alpha=90.00 beta=90.00 gamma=90.00
Last column: nearest neighbours and their distance in Å.
Atoms (fractional coordinates):
Ta  0.0000  0.0000  0.0000  6 Br 2.56
Br  0.5000  0.0000  0.0000  2 Ta 2.56
Br  0.0000  0.0000  0.5000  2 Ta 2.56
Br  0.0000  0.5000  0.0000  2 Ta 2.56
Pd  0.5000  0.5000  0.5000  12 Br 3.62


2) TaPdBr3: relaxed, PBE.

Summary:
DOS at the Fermi energy: 0.975 states/eV per atom

Unit cell a=5.0972 b=5.0972 c=5.0972 alpha=90.00 beta=90.00 gamma=90.00
Last column: nearest neighbours and their distance in Å.
Atoms (fractional coordinates):
Pd  0.0000  0.0000  0.0000  6 Br 2.55
Br  0.5000  0.0000  0.0000  2 Pd 2.55
Br  0.0000  0.5000  0.0000  2 Pd 2.55
Ta  0.5000  0.5000  0.5000  12 Br 3.60
Br  0.0000  0.0000  0.5000  2 Pd 2.55


Which is most stable? The ranking, best first, is 1), 2).


1) TaPd3Br: relaxed, PBE.

Summary:
DOS at the Fermi energy: 0.769 states/eV per atom

Unit cell a=4.9231 b=4.9231 c=4.9231 alpha=90.00 beta=90.00 gamma=90.00
Last column: nearest neighbours and their distance in Å.
Atoms (fractional coordinates):
Pd  0.0000  0.5000  0.0000  2 Ta 2.46
Br  0.5000  0.5000  0.5000  12 Pd 3.48
Ta  0.0000  0.0000  0.0000  6 Pd 2.46
Pd  0.5000  0.0000  0.0000  2 Ta 2.46
Pd  0.0000  0.0000  0.5000  2 Ta 2.46


2) TaPd3Br: relaxed, PBE.

Summary:
DOS at the Fermi energy: 1.270 states/eV per atom

Unit cell a=4.6880 b=4.6880 c=4.6880 alpha=90.00 beta=90.00 gamma=90.00
Last column: nearest neighbours and their distance in Å.
Atoms (fractional coordinates):
Pd  0.0000  0.0000  0.5000  2 Br 2.34
Pd  0.5000  0.0000  0.0000  2 Br 2.34
Ta  0.5000  0.5000  0.5000  12 Pd 3.31
Pd  0.0000  0.5000  0.0000  2 Br 2.34
Br  0.0000  0.0000  0.0000  6 Pd 2.34


Which is most stable? The ranking, best first, is 1), 2).